1.
The following is a DFT calculation (PBE-GGA) of an optimized crystal structure of Ba2NiBW.

The structure belongs to space group P4/mmm (No. 123); the cell edges are 5.9862, 5.9862 and 3.7900 Å and the angles 90.00°, 90.00° and 90.00°. The asymmetric unit holds Ba at (0.0000, 0.5000, 0.0000), Ni at (0.0000, 0.0000, 0.5000), B at (0.0000, 0.0000, 0.0000) and W at (0.5000, 0.5000, 0.5000).

As for the crystal system: tetragonal. Its formation energy is 1.086 eV/atom.



2.
The following is a DFT calculation (PBE-GGA) of an optimized crystal structure of ZrRhSe2N.

The structure belongs to space group P4/mmm (No. 123); the cell edges are 5.0827, 5.0827 and 3.6547 Å and the angles 90.00°, 90.00° and 90.00°. The asymmetric unit holds Zr at (0.0000, 0.0000, 0.0000), Rh at (0.5000, 0.5000, 0.5000), Se at (0.0000, 0.5000, 0.5000) and N at (0.5000, 0.5000, 0.0000).

The calculation puts the polymorph energy (0 for the lowest one) at 0.0 meV per atom. As for the crystal system: tetragonal. The uncorrected formation energy comes out at 82 meV/atom.



3.
The following is a DFT calculation (PBE-GGA) of an optimized crystal structure of FeSiNi2.

The structure belongs to space group P4/mmm (No. 123); the cell edges are 3.5095, 3.5095 and 3.5713 Å and the angles 90.00°, 90.00° and 90.00°. The asymmetric unit holds Fe at (0.0000, 0.0000, 0.0000), Si at (0.5000, 0.5000, 0.0000) and Ni at (0.0000, 0.5000, 0.5000).

As for the crystal system: tetragonal. The uncorrected formation energy comes out at -333 meV/atom.



| no. | V (Å³/cell) | N(E_F) (states/eV/f.u.) |
| --- | --- | --- |
| 1 | 136 | 3.7 |
| 2 | 94 | 4.1 |
| 3 | 44 | 2.9 |